PBE MgPaFeCo, optimized geometry; DFT total energy = -26.74 eV for the cell shown
1.0
-3.736 -2.076 -1.405
0.300 -3.605 -2.674
-1.044 -4.076 1.593
Mg Pa Co Fe
1 1 1 1
direct
0.750 0.750 0.750 Mg
0.250 0.250 0.250 Pa
0.500 0.500 0.500 Co
0.000 0.000 0.000 Fe

***

PBE MgFeCoPt2, optimized geometry; DFT total energy = -25.37 eV for the cell shown
1.0
-1.309 -2.608 3.532
4.121 -1.574 0.364
1.042 3.396 2.894
Mg Co Fe Pt
1 1 1 2
direct
0.000 0.500 0.000 Mg
0.000 0.000 0.000 Co
0.500 0.500 0.500 Fe
0.000 0.000 0.500 Pt
0.500 0.000 0.000 Pt

***

PBE MgFeCoRh, optimized geometry; DFT total energy = -24.97 eV for the cell shown
1.0
-3.416 2.210 1.135
-3.084 0.706 -2.798
-3.726 -1.943 0.428
Co Mg Rh Fe
1 1 1 1
direct
0.250 0.250 0.250 Co
0.000 0.000 0.000 Mg
0.750 0.750 0.750 Rh
0.500 0.500 0.500 Fe

***

PBE MgFeCoRu, optimized geometry; DFT total energy = -25.85 eV for the cell shown
1.0
4.215 0.000 0.000
2.107 3.650 0.000
2.107 1.217 3.441
Ru Mg Co Fe
1 1 1 1
direct
0.750 0.750 0.750 Ru
0.000 0.000 0.000 Mg
0.250 0.250 0.250 Co
0.500 0.500 0.500 Fe

***

PBE MgFeCoSe2, optimized geometry; formation energy from raw total energies = 0.668 eV/atom
1.0
-2.396 1.393 -3.640
-2.650 -3.838 0.275
-2.908 2.205 2.758
Mg Co Fe Se
1 1 1 2
direct
0.000 0.500 0.000 Mg
0.500 0.500 0.500 Co
0.000 0.000 0.000 Fe
0.000 0.000 0.500 Se
0.500 0.000 0.000 Se

***

PBE Mg2FeCo5Si2, optimized geometry; formation energy from raw total energies = -0.183 eV/atom
1.0
-2.351 -1.634 1.014
3.050 -7.253 -4.617
4.906 -2.556 7.254
Mg Fe Co Si
4 2 10 4
direct
0.000 0.672 0.172 Mg
0.000 0.328 0.828 Mg
0.000 0.172 0.328 Mg
0.000 0.828 0.672 Mg
0.000 0.000 0.000 Fe
0.000 0.500 0.500 Fe
0.500 0.201 0.066 Co
0.500 0.799 0.934 Co
0.500 0.066 0.799 Co
0.500 0.701 0.434 Co
0.500 0.934 0.201 Co
0.500 0.299 0.566 Co
0.500 0.566 0.701 Co
0.500 0.434 0.299 Co
0.500 0.500 0.000 Co
0.500 0.000 0.500 Co
0.000 0.128 0.628 Si
0.000 0.872 0.372 Si
0.000 0.628 0.872 Si
0.000 0.372 0.128 Si

***

PBE MgFeCoSn, optimized geometry; DFT total energy = -20.84 eV for the cell shown
1.0
-0.891 2.977 -3.007
-1.332 -1.225 -3.927
-4.093 0.694 -1.208
Mg Co Sn Fe
1 1 1 1
direct
0.750 0.750 0.750 Mg
0.500 0.500 0.500 Co
0.250 0.250 0.250 Sn
0.000 0.000 0.000 Fe

***

PBE MgTaFeCo, optimized geometry; DFT total energy = -29.32 eV for the cell shown
1.0
-2.790 3.017 -1.087
-3.701 0.317 2.067
-0.704 3.283 2.607
Mg Co Fe Ta
1 1 1 1
direct
0.000 0.000 0.000 Mg
0.750 0.750 0.750 Co
0.250 0.250 0.250 Fe
0.500 0.500 0.500 Ta

***

PBE MgFeCoTc, optimized geometry; DFT total energy = -26.71 eV for the cell shown
1.0
-1.935 3.138 1.980
-1.567 -0.596 3.833
1.809 1.819 3.306
Mg Co Tc Fe
1 1 1 1
direct
0.000 0.000 0.000 Mg
0.250 0.250 0.250 Co
0.500 0.500 0.500 Tc
0.750 0.750 0.750 Fe

***

PBE MgTiFeCo, optimized geometry; DFT total energy = -25.25 eV for the cell shown
1.0
-1.292 1.598 3.675
-3.684 -1.208 1.642
-0.078 -2.426 3.440
Mg Co Fe Ti
1 1 1 1
direct
0.250 0.250 0.250 Mg
0.500 0.500 0.500 Co
0.000 0.000 0.000 Fe
0.750 0.750 0.750 Ti

***

PBE MgVFeCo2, optimized geometry; DFT total energy = -29.35 eV for the cell shown
1.0
-1.496 2.075 -3.430
-1.633 -3.604 -1.468
-3.651 0.807 2.080
Mg Co Fe V
1 2 1 1
direct
0.500 0.500 0.500 Mg
0.000 0.000 0.500 Co
0.500 0.000 0.000 Co
0.000 0.500 0.000 Fe
0.000 0.000 0.000 V

***

PBE MgZnFeCo, optimized geometry; DFT total energy = -18.17 eV for the cell shown
1.0
4.224 0.000 0.000
2.112 3.658 0.000
2.112 1.219 3.449
Mg Zn Co Fe
1 1 1 1
direct
0.250 0.250 0.250 Mg
0.000 0.000 0.000 Zn
0.500 0.500 0.500 Co
0.750 0.750 0.750 Fe

***

PBE MgZrFeCo, optimized geometry; DFT total energy = -25.73 eV for the cell shown
1.0
-3.202 2.358 1.822
-3.976 0.068 -1.823
-3.346 -2.011 1.974
Mg Co Fe Zr
1 1 1 1
direct
0.250 0.250 0.250 Mg
0.000 0.000 0.000 Co
0.500 0.500 0.500 Fe
0.750 0.750 0.750 Zr

***

PBE Mn4Fe2Co, optimized geometry; DFT total energy = -58.12 eV for the cell shown
1.0
-3.195 -4.166 4.505
-3.949 -2.952 -0.219
0.457 -4.756 1.239
Mn Fe Co
4 2 1
direct
0.500 0.500 0.000 Mn
0.000 0.000 0.500 Mn
0.500 0.000 0.500 Mn
0.000 0.500 0.000 Mn
0.000 0.500 0.500 Fe
0.500 0.500 0.500 Fe
0.000 0.000 0.000 Co

***

PBE Mn2Fe2Co, optimized geometry; excess energy over the best structure of this formula in the dataset = 170.5 meV per atom
1.0
-6.221 -2.086 0.327
2.108 -6.192 0.612
0.044 0.262 2.501
Mn Co Fe
4 2 4
direct
0.171 0.671 0.500 Mn
0.671 0.829 0.500 Mn
0.829 0.329 0.500 Mn
0.329 0.171 0.500 Mn
0.000 0.000 0.000 Co
0.500 0.500 0.000 Co
0.374 0.874 0.000 Fe
0.874 0.626 0.000 Fe
0.626 0.126 0.000 Fe
0.126 0.374 0.000 Fe

***

PBE Mn3Fe2Co, optimized geometry; DFT total energy = -102.01 eV for the cell shown
1.0
4.259 0.060 -0.155
-0.130 4.588 -1.807
0.241 -0.077 6.520
Mn Fe Co
6 4 2
direct
0.250 0.371 0.000 Mn
0.750 0.629 0.000 Mn
0.080 0.291 0.338 Mn
0.420 0.953 0.662 Mn
0.580 0.047 0.338 Mn
0.920 0.709 0.662 Mn
0.583 0.543 0.335 Fe
0.083 0.792 0.335 Fe
0.917 0.208 0.665 Fe
0.417 0.457 0.665 Fe
0.750 0.127 0.000 Co
0.250 0.873 0.000 Co

***

PBE MnFeCo2, optimized geometry; excess energy over the best structure of this formula in the dataset = 130.3 meV per atom
1.0
-0.830 6.479 -5.085
0.599 5.054 -6.528
-1.862 4.742 -6.525
Co Fe Mn
2 1 1
direct
0.001 0.001 0.001 Co
0.499 0.499 0.499 Co
0.250 0.250 0.250 Fe
0.750 0.750 0.750 Mn

***

PBE Mn14FeCo, optimized geometry; DFT total energy = -143.61 eV for the cell shown
1.0
0.135 1.553 4.749
3.298 -3.562 1.190
5.438 4.494 -1.624
Mn Fe Co
14 1 1
direct
0.125 0.875 0.000 Mn
0.625 0.375 0.000 Mn
0.125 0.375 0.500 Mn
0.125 0.375 0.000 Mn
0.625 0.875 0.500 Mn
0.625 0.875 0.000 Mn
0.374 0.125 0.742 Mn
0.374 0.125 0.258 Mn
0.875 0.626 0.742 Mn
0.875 0.626 0.258 Mn
0.375 0.625 0.745 Mn
0.375 0.625 0.255 Mn
0.875 0.125 0.745 Mn
0.875 0.125 0.255 Mn
0.625 0.375 0.500 Fe
0.125 0.875 0.500 Co

***

PBE MnFeCo2, optimized geometry; excess energy over the best structure of this formula in the dataset = 54.7 meV per atom
1.0
-3.188 -1.688 2.447
-0.156 -4.328 -0.493
3.269 2.736 0.915
Mn Co Fe
1 2 1
direct
0.750 0.250 0.500 Mn
0.000 0.000 0.000 Co
0.250 0.750 0.500 Co
0.500 0.500 0.000 Fe

***

PBE MnFeCo2, optimized geometry; excess energy over the best structure of this formula in the dataset = 585.7 meV per atom
1.0
-5.413 -2.032 2.895
-1.557 -3.383 -5.286
-2.272 -4.664 -0.301
Mn Co Fe
2 4 2
direct
0.500 0.500 0.000 Mn
0.250 0.750 0.500 Mn
0.639 0.125 0.250 Co
0.111 0.625 0.250 Co
0.375 0.361 0.750 Co
0.875 0.889 0.750 Co
0.000 0.000 0.000 Fe
0.750 0.250 0.500 Fe

***

Q: Which total magnetization values were calculated for the entries above? A: 0.00, 5.25, 4.56, 4.31, 2.22, 10.64, 0.57, 0.00, 1.92, 0.67, 1.81, 3.62, 0.61, 3.20, 0.00, 1.73, 3.16, 0.68, 1.61, 18.88, in μB per cell.